Arrangement i

The following is a DFT calculation (PBE) of a geometry-optimized CoNi2W structure.

Calculated values
- V: 12.16 Å³ per atom
- DOS at the Fermi energy: 11.9 states/eV per cell

```
data_CoNi2W
_cell_length_a 8.574
_cell_length_b 2.631
_cell_length_c 4.392
_cell_angle_alpha 90.00
_cell_angle_beta 101.01
_cell_angle_gamma 90.00
_space_group_name_H-M_alt 'C 1 2/m 1'
_space_group_IT_number 12
_space_group_name_Hall '-C 2y'
loop_
_atom_site_label
_atom_site_type_symbol
_atom_site_fract_x
_atom_site_fract_y
_atom_site_fract_z
Co1 Co 0.000 0.000 0.000
Ni1 Ni 0.245 0.500 0.244
W1 W 0.000 0.500 0.500
```

***

Arrangement ii

The following is a DFT calculation (PBE) of a geometry-optimized CoNi2W structure.

Calculated values
- V: 12.33 Å³ per atom
- DOS at the Fermi energy: 6.2 states/eV per cell

```
data_CoNi2W
_cell_length_a 2.611
_cell_length_b 2.611
_cell_length_c 7.238
_cell_angle_alpha 90.00
_cell_angle_beta 90.00
_cell_angle_gamma 90.00
_space_group_name_H-M_alt 'P 4/m m m'
_space_group_IT_number 123
_space_group_name_Hall '-P 4 2'
loop_
_atom_site_label
_atom_site_type_symbol
_atom_site_fract_x
_atom_site_fract_y
_atom_site_fract_z
Co1 Co 0.000 0.000 0.000
Ni1 Ni 0.500 0.500 0.233
W1 W 0.000 0.000 0.500
```

***

Short version: arrangement ii is the least stable of them.

***

Arrangement i

The following is a DFT calculation (PBE) of a geometry-optimized CoNi2W structure.

Calculated values
- V: 12.12 Å³ per atom
- DOS at the Fermi energy: 5.2 states/eV per cell

```
data_CoNi2W
_cell_length_a 2.608
_cell_length_b 3.691
_cell_length_c 5.038
_cell_angle_alpha 90.00
_cell_angle_beta 90.00
_cell_angle_gamma 90.00
_space_group_name_H-M_alt 'P m m m'
_space_group_IT_number 47
_space_group_name_Hall '-P 2 2'
loop_
_atom_site_label
_atom_site_type_symbol
_atom_site_fract_x
_atom_site_fract_y
_atom_site_fract_z
Co1 Co 0.000 0.000 0.000
Ni1 Ni 0.500 0.500 0.241
W1 W 0.000 0.000 0.500
```

***

Arrangement ii

The following is a DFT calculation (PBE) of a geometry-optimized CoNi2W structure.

Calculated values
- V: 11.87 Å³ per atom
- DOS at the Fermi energy: 6.6 states/eV per cell

```
data_CoNi2W
_cell_length_a 3.626
_cell_length_b 3.626
_cell_length_c 7.222
_cell_angle_alpha 90.00
_cell_angle_beta 90.00
_cell_angle_gamma 90.00
_space_group_name_H-M_alt 'I -4 m 2'
_space_group_IT_number 119
_space_group_name_Hall 'I -4 -2'
loop_
_atom_site_label
_atom_site_type_symbol
_atom_site_fract_x
_atom_site_fract_y
_atom_site_fract_z
Co1 Co 0.000 0.000 0.000
Ni1 Ni 0.000 0.000 0.500
Ni2 Ni 0.000 0.500 0.750
W1 W 0.000 0.500 0.250
```

***

Arrangement iii

The following is a DFT calculation (PBE) of a geometry-optimized CoNi2W structure.

Calculated values
- V: 12.92 Å³ per atom
- DOS at the Fermi energy: 21.4 states/eV per cell

```
data_CoNi2W
_cell_length_a 6.504
_cell_length_b 6.504
_cell_length_c 4.887
_cell_angle_alpha 90.00
_cell_angle_beta 90.00
_cell_angle_gamma 90.00
_space_group_name_H-M_alt 'I -4 2 d'
_space_group_IT_number 122
_space_group_name_Hall 'I -4 2bw'
loop_
_atom_site_label
_atom_site_type_symbol
_atom_site_fract_x
_atom_site_fract_y
_atom_site_fract_z
Co1 Co 0.000 0.000 0.000
Ni1 Ni 0.239 0.250 0.125
W1 W 0.000 0.000 0.500
```

***

Arrangement iv

The following is a DFT calculation (PBE) of a geometry-optimized CoNi2W structure.

Calculated values
- V: 12.08 Å³ per atom
- DOS at the Fermi energy: 20.2 states/eV per cell

```
data_CoNi2W
_cell_length_a 5.782
_cell_length_b 5.782
_cell_length_c 5.782
_cell_angle_alpha 90.00
_cell_angle_beta 90.00
_cell_angle_gamma 90.00
_space_group_name_H-M_alt 'F m -3 m'
_space_group_IT_number 225
_space_group_name_Hall '-F 4 2 3'
loop_
_atom_site_label
_atom_site_type_symbol
_atom_site_fract_x
_atom_site_fract_y
_atom_site_fract_z
Co1 Co 0.000 0.000 0.000
Ni1 Ni 0.250 0.250 0.250
W1 W 0.000 0.000 0.500
```

***

Short version: arrangement iii is the least stable of them.

***

Arrangement i

The following is a DFT calculation (PBE) of a geometry-optimized CoNi2W structure.

Calculated values
- V: 12.25 Å³ per atom
- DOS at the Fermi energy: 5.6 states/eV per cell

```
data_CoNi2W
_cell_length_a 2.638
_cell_length_b 2.638
_cell_length_c 7.043
_cell_angle_alpha 90.00
_cell_angle_beta 90.00
_cell_angle_gamma 90.00
_space_group_name_H-M_alt 'P 4 m m'
_space_group_IT_number 99
_space_group_name_Hall 'P 4 -2'
loop_
_atom_site_label
_atom_site_type_symbol
_atom_site_fract_x
_atom_site_fract_y
_atom_site_fract_z
Co1 Co 0.000 0.000 0.000
Ni1 Ni 0.000 0.000 0.469
Ni2 Ni 0.500 0.500 0.229
W1 W 0.500 0.500 0.734
```

***

Arrangement ii

The following is a DFT calculation (PBE) of a geometry-optimized CoNi2W structure.

Calculated values
- V: 12.53 Å³ per atom
- DOS at the Fermi energy: 13.4 states/eV per cell

```
data_CoNi2W
_cell_length_a 2.6250
_cell_length_b 2.6250
_cell_length_c 25.1899
_cell_angle_alpha 90.00
_cell_angle_beta 90.00
_cell_angle_gamma 120.00
_space_group_name_H-M_alt 'R -3 m'
_space_group_IT_number 166
_space_group_name_Hall '-R 3 2"'
loop_
_atom_site_label
_atom_site_type_symbol
_atom_site_fract_x
_atom_site_fract_y
_atom_site_fract_z
Co1 Co 0.0000 0.0000 0.0000
Ni1 Ni 0.0000 0.0000 0.2542
W1 W 0.0000 0.0000 0.5000
```

***

Short version: arrangement ii is the least stable of them.

***

Arrangement i

The following is a DFT calculation (PBE) of a geometry-optimized CoNi2W structure.

Calculated values
- V: 11.93 Å³ per atom
- DOS at the Fermi energy: 5.5 states/eV per cell

```
data_CoNi2W
_cell_length_a 3.558
_cell_length_b 3.558
_cell_length_c 3.768
_cell_angle_alpha 90.00
_cell_angle_beta 90.00
_cell_angle_gamma 90.00
_space_group_name_H-M_alt 'P 4/m m m'
_space_group_IT_number 123
_space_group_name_Hall '-P 4 2'
loop_
_atom_site_label
_atom_site_type_symbol
_atom_site_fract_x
_atom_site_fract_y
_atom_site_fract_z
Co1 Co 0.000 0.000 0.000
Ni1 Ni 0.000 0.500 0.500
W1 W 0.500 0.500 0.000
```

***

Arrangement ii

The following is a DFT calculation (PBE) of a geometry-optimized CoNi2W structure.

Calculated values
- V: 12.24 Å³ per atom
- DOS at the Fermi energy: 10.4 states/eV per cell

```
data_CoNi2W
_cell_length_a 5.075
_cell_length_b 7.397
_cell_length_c 2.609
_cell_angle_alpha 90.00
_cell_angle_beta 90.00
_cell_angle_gamma 90.00
_space_group_name_H-M_alt 'C m m m'
_space_group_IT_number 65
_space_group_name_Hall '-C 2 2'
loop_
_atom_site_label
_atom_site_type_symbol
_atom_site_fract_x
_atom_site_fract_y
_atom_site_fract_z
Co1 Co 0.000 0.000 0.000
Ni1 Ni 0.250 0.250 0.500
W1 W 0.000 0.500 0.000
```

***

Short version: arrangement ii is the least stable of them.

***

Arrangement i

The following is a DFT calculation (PBE) of a geometry-optimized CoNi2W structure.

Calculated values
- V: 12.17 Å³ per atom
- DOS at the Fermi energy: 9.8 states/eV per cell

```
data_CoNi2W
_cell_length_a 8.496
_cell_length_b 2.619
_cell_length_c 4.448
_cell_angle_alpha 90.00
_cell_angle_beta 100.36
_cell_angle_gamma 90.00
_space_group_name_H-M_alt 'C 1 m 1'
_space_group_IT_number 8
_space_group_name_Hall 'C -2y'
loop_
_atom_site_label
_atom_site_type_symbol
_atom_site_fract_x
_atom_site_fract_y
_atom_site_fract_z
Co1 Co 0.000 0.000 0.000
Ni1 Ni 0.008 0.500 0.513
Ni2 Ni 0.257 0.000 0.752
W1 W 0.255 0.500 0.251
```

***

Arrangement ii

The following is a DFT calculation (PBE) of a geometry-optimized CoNi2W structure.

Calculated values
- V: 12.52 Å³ per atom
- DOS at the Fermi energy: 15.2 states/eV per cell

```
data_CoNi2W
_cell_length_a 2.6331
_cell_length_b 2.6331
_cell_length_c 25.0155
_cell_angle_alpha 90.00
_cell_angle_beta 90.00
_cell_angle_gamma 120.00
_space_group_name_H-M_alt 'R 3 m'
_space_group_IT_number 160
_space_group_name_Hall 'R 3 -2"'
loop_
_atom_site_label
_atom_site_type_symbol
_atom_site_fract_x
_atom_site_fract_y
_atom_site_fract_z
Co1 Co 0.0000 0.0000 0.0000
Ni1 Ni 0.0000 0.0000 0.4920
Ni2 Ni 0.0000 0.0000 0.7451
W1 W 0.0000 0.0000 0.2456
```

***

Short version: arrangement ii is the least stable of them.

***

Arrangement i

The following is a DFT calculation (PBE) of a geometry-optimized CoNi2W structure.

Calculated values
- V: 12.04 Å³ per atom
- DOS at the Fermi energy: 3.9 states/eV per cell

```
data_CoNi2W
_cell_length_a 2.629
_cell_length_b 3.572
_cell_length_c 5.130
_cell_angle_alpha 90.00
_cell_angle_beta 90.00
_cell_angle_gamma 90.00
_space_group_name_H-M_alt 'P m m 2'
_space_group_IT_number 25
_space_group_name_Hall 'P 2 -2'
loop_
_atom_site_label
_atom_site_type_symbol
_atom_site_fract_x
_atom_site_fract_y
_atom_site_fract_z
Co1 Co 0.000 0.000 0.000
Ni1 Ni 0.000 0.000 0.482
Ni2 Ni 0.500 0.500 0.248
W1 W 0.500 0.500 0.748
```

***

Arrangement ii

The following is a DFT calculation (PBE) of a geometry-optimized CoNi2W structure.

Calculated values
- V: 11.85 Å³ per atom
- DOS at the Fermi energy: 11.2 states/eV per cell

```
data_CoNi2W
_cell_length_a 5.026
_cell_length_b 8.942
_cell_length_c 4.219
_cell_angle_alpha 90.00
_cell_angle_beta 90.00
_cell_angle_gamma 90.00
_space_group_name_H-M_alt 'C m c m'
_space_group_IT_number 63
_space_group_name_Hall '-C 2c 2'
loop_
_atom_site_label
_atom_site_type_symbol
_atom_site_fract_x
_atom_site_fract_y
_atom_site_fract_z
Co1 Co 0.000 0.170 0.250
Ni1 Ni 0.249 0.077 0.750
W1 W 0.000 0.326 0.750
```

***

Short version: arrangement i is the least stable of them.

***

Arrangement i

The following is a DFT calculation (PBE) of a geometry-optimized CoNi2W structure.

Calculated values
- V: 11.86 Å³ per atom
- DOS at the Fermi energy: 6.6 states/eV per cell

```
data_CoNi2W
_cell_length_a 3.545
_cell_length_b 3.545
_cell_length_c 7.549
_cell_angle_alpha 90.00
_cell_angle_beta 90.00
_cell_angle_gamma 90.00
_space_group_name_H-M_alt 'I 4/m m m'
_space_group_IT_number 139
_space_group_name_Hall '-I 4 2'
loop_
_atom_site_label
_atom_site_type_symbol
_atom_site_fract_x
_atom_site_fract_y
_atom_site_fract_z
Co1 Co 0.000 0.000 0.000
Ni1 Ni 0.000 0.500 0.250
W1 W 0.000 0.000 0.500
```

***

Arrangement ii

The following is a DFT calculation (PBE) of a geometry-optimized CoNi2W structure.

Calculated values
- V: 12.05 Å³ per atom
- DOS at the Fermi energy: 15.7 states/eV per cell

```
data_CoNi2W
_cell_length_a 5.777
_cell_length_b 5.777
_cell_length_c 5.777
_cell_angle_alpha 90.00
_cell_angle_beta 90.00
_cell_angle_gamma 90.00
_space_group_name_H-M_alt 'F -4 3 m'
_space_group_IT_number 216
_space_group_name_Hall 'F -4 2 3'
loop_
_atom_site_label
_atom_site_type_symbol
_atom_site_fract_x
_atom_site_fract_y
_atom_site_fract_z
Co1 Co 0.000 0.000 0.000
Ni1 Ni 0.000 0.000 0.500
Ni2 Ni 0.250 0.250 0.750
W1 W 0.250 0.250 0.250
```

***

Short version: arrangement ii is the least stable of them.

***

Arrangement i

The following is a DFT calculation (PBE) of a geometry-optimized Co3Ni6W structure.

Calculated values
- V: 11.89 Å³ per atom
- DOS at the Fermi energy: 73.7 states/eV per cell

```
data_Co3Ni6W
_cell_length_a 8.7935
_cell_length_b 8.7935
_cell_length_c 10.6514
_cell_angle_alpha 90.00
_cell_angle_beta 90.00
_cell_angle_gamma 120.00
_space_group_name_H-M_alt 'R -3'
_space_group_IT_number 148
_space_group_name_Hall '-R 3'
loop_
_atom_site_label
_atom_site_type_symbol
_atom_site_fract_x
_atom_site_fract_y
_atom_site_fract_z
Co1 Co 0.0274 0.5755 0.2030
Ni1 Ni 0.0470 0.8599 0.3035
Ni2 Ni 0.0522 0.4639 0.5892
W1 W 0.0000 0.0000 0.0000
W2 W 0.0000 0.0000 0.5000
```

***

Arrangement ii

The following is a DFT calculation (PBE) of a geometry-optimized Co3Ni6W structure.

Calculated values
- V: 11.68 Å³ per atom
- DOS at the Fermi energy: 25.4 states/eV per cell

```
data_Co3Ni6W
_cell_length_a 8.156
_cell_length_b 4.705
_cell_length_c 6.630
_cell_angle_alpha 90.00
_cell_angle_beta 113.36
_cell_angle_gamma 90.00
_space_group_name_H-M_alt 'C 1 2/m 1'
_space_group_IT_number 12
_space_group_name_Hall '-C 2y'
loop_
_atom_site_label
_atom_site_type_symbol
_atom_site_fract_x
_atom_site_fract_y
_atom_site_fract_z
Co1 Co 0.000 0.000 0.000
Co2 Co 0.068 0.000 0.693
Ni1 Ni 0.142 0.500 0.931
Ni2 Ni 0.186 0.253 0.303
W1 W 0.000 0.500 0.500
```

***

Short version: arrangement i is the least stable of them.